Entry 1:
DFT (PBE-GGA) results for crystalline Sm9ErMg2 at its relaxed geometry.

Computed properties:
The value obtained for the formation energy is 0.009 eV/atom. The calculated volume is 380 Å³/cell. The value obtained for the total energy is -4.1762 eV per atom.

a b c (Å): 5.0120 5.0120 15.1202
angles (deg): 90.00 90.00 90.00
Positions (direct):
Sm (0.0000, 0.0000, 0.0000)
Sm (0.0000, 0.0000, 0.3355)
Sm (0.0000, 0.0000, 0.6645)
Sm (0.0000, 0.5000, 0.1694)
Sm (0.0000, 0.5000, 0.5000)
Sm (0.0000, 0.5000, 0.8306)
Sm (0.5000, 0.0000, 0.1694)
Sm (0.5000, 0.0000, 0.5000)
Sm (0.5000, 0.0000, 0.8306)
Er (0.5000, 0.5000, 0.0000)
Mg (0.5000, 0.5000, 0.3367)
Mg (0.5000, 0.5000, 0.6633)

---

Entry 2:
DFT (PBE-GGA) results for crystalline Sm6Er5Mg2 at its relaxed geometry.

Computed properties:
The value obtained for the formation energy is 0.136 eV/atom. The calculated volume is 833 Å³/cell. The value obtained for the total energy is -4.0420 eV per atom.

a b c (Å): 10.4195 22.6959 3.5237
angles (deg): 90.00 90.00 90.00
Positions (direct):
Sm (0.0175, 0.1132, 0.0000)
Sm (0.1438, 0.3829, 0.0000)
Sm (0.1712, 0.6336, 0.5000)
Sm (0.3288, 0.1336, 0.5000)
Sm (0.3562, 0.8829, 0.0000)
Sm (0.4825, 0.6132, 0.0000)
Sm (0.5175, 0.3868, 0.0000)
Sm (0.6438, 0.1171, 0.0000)
Sm (0.6712, 0.8664, 0.5000)
Sm (0.8288, 0.3664, 0.5000)
Sm (0.8562, 0.6171, 0.0000)
Sm (0.9825, 0.8868, 0.0000)
Er (0.0000, 0.5000, 0.5000)
Er (0.0783, 0.2498, 0.5000)
Er (0.1653, 0.9944, 0.5000)
Er (0.3347, 0.4944, 0.5000)
Er (0.4217, 0.7498, 0.5000)
Er (0.5000, 0.0000, 0.5000)
Er (0.5783, 0.2502, 0.5000)
Er (0.6653, 0.5056, 0.5000)
Er (0.8347, 0.0056, 0.5000)
Er (0.9217, 0.7502, 0.5000)
Mg (0.1717, 0.7614, 0.0000)
Mg (0.3283, 0.2614, 0.0000)
Mg (0.6717, 0.7386, 0.0000)
Mg (0.8283, 0.2386, 0.0000)

---

Entry 3:
DFT (PBE-GGA) results for crystalline Sm12ErMg3 at its relaxed geometry.

Computed properties:
The value obtained for the formation energy is 0.009 eV/atom. The calculated volume is 504 Å³/cell. The value obtained for the total energy is -4.1141 eV per atom.

a b c (Å): 5.0027 5.0027 20.1522
angles (deg): 90.00 90.00 90.00
Positions (direct):
Sm (0.0000, 0.0000, 0.0000)
Sm (0.0000, 0.0000, 0.2470)
Sm (0.0000, 0.0000, 0.5000)
Sm (0.0000, 0.0000, 0.7530)
Sm (0.0000, 0.5000, 0.1236)
Sm (0.0000, 0.5000, 0.3724)
Sm (0.0000, 0.5000, 0.6276)
Sm (0.0000, 0.5000, 0.8764)
Sm (0.5000, 0.0000, 0.1236)
Sm (0.5000, 0.0000, 0.3724)
Sm (0.5000, 0.0000, 0.6276)
Sm (0.5000, 0.0000, 0.8764)
Er (0.5000, 0.5000, 0.5000)
Mg (0.5000, 0.5000, 0.0000)
Mg (0.5000, 0.5000, 0.2461)
Mg (0.5000, 0.5000, 0.7539)

---

Entry 4:
DFT (PBE-GGA) results for crystalline SmEr7Mg2 at its relaxed geometry.

Computed properties:
The value obtained for the formation energy is 0.596 eV/atom. The calculated volume is 372 Å³/cell. The value obtained for the total energy is -3.3884 eV per atom.

a b c (Å): 9.1941 9.1941 5.2573
angles (deg): 90.00 90.00 123.28
Positions (direct):
Sm (0.0000, 0.0000, 0.0000)
Er (0.0683, 0.2949, 0.5000)
Er (0.2111, 0.7889, 0.0000)
Er (0.2949, 0.0683, 0.5000)
Er (0.5000, 0.5000, 0.5000)
Er (0.7051, 0.9317, 0.5000)
Er (0.7889, 0.2111, 0.0000)
Er (0.9317, 0.7051, 0.5000)
Mg (0.2988, 0.7012, 0.5000)
Mg (0.7012, 0.2988, 0.5000)

---

> Among the records above, which one has the highest calculated volume?

Sm6Er5Mg2

---

> Among the records above, which one has the lowest calculated volume?

SmEr7Mg2